The following is a DFT calculation (PBE) of an optimized crystal structure of Mg2MnH4.

```
Mg2MnH4
1.0
-1.713 1.713 5.091
1.713 -1.713 5.091
1.713 1.713 -5.091
Mg Mn H
2 1 4
Direct
0.137 0.137 0.000
0.863 0.863 0.000
0.500 0.500 0.000
0.000 0.500 0.500
0.332 0.332 0.000
0.500 0.000 0.500
0.668 0.668 0.000
```

Output
Density of states at the Fermi level in states/eV/f.u.: 0.92
Mass density in Mg/m³: 3.0
Electronic total energy in eV per formula unit: -26.11